FeTe2HO6: relaxed, GGA+U.

Lattice parameters (Å, degrees): 8.6941 8.6941 5.4416 107.50 107.50 86.00
With the nearest neighbours (Å) after each atom.
Atoms (fractional coordinates):
1 Fe 0.0053 0.9947 0.7500  4 O 1.86-1.87
2 Fe 0.9947 0.0053 0.2500  4 O 1.86-1.87
3 Te 0.1850 0.3702 0.0862  3 O 1.88-1.98
4 Te 0.3702 0.1850 0.5862  3 O 1.88-1.98
5 Te 0.6298 0.8150 0.4138  3 O 1.88-1.98
6 Te 0.8150 0.6298 0.9138  3 O 1.88-1.98
7 H 0.3118 0.6882 0.2500  2 O 1.21
8 H 0.6882 0.3118 0.7500  2 O 1.21
9 O 0.1011 0.1182 0.6057  2 Fe 1.86-1.87
10 O 0.1182 0.1011 0.1057  2 Fe 1.86-1.87
11 O 0.1985 0.5936 0.1474  1 H 1.21
12 O 0.3094 0.3787 0.4600  2 Te 1.98
13 O 0.3787 0.3094 0.9600  2 Te 1.98
14 O 0.4064 0.8015 0.3526  1 H 1.21
15 O 0.5936 0.1985 0.6474  1 H 1.21
16 O 0.6213 0.6906 0.0400  2 Te 1.98
17 O 0.6906 0.6213 0.5400  2 Te 1.98
18 O 0.8015 0.4064 0.8526  1 H 1.21
19 O 0.8818 0.8989 0.8943  2 Fe 1.86-1.87
20 O 0.8989 0.8818 0.3943  2 Fe 1.86-1.87

## Properties
Space group ... C2/c, No. 15
Final energy ... -5.421 eV per atom
Calculated density ... 3.6 g/cm3


UFeH2O6: relaxed, GGA+U.

Lattice parameters (Å, degrees): 5.0666 5.1463 5.4630 62.58 89.68 63.96
With the nearest neighbours (Å) after each atom.
Atoms (fractional coordinates):
1 U 0.0000 0.0000 0.0000  4 O 1.97-2.00
2 Fe 0.5000 0.0000 0.5000  6 O 1.91-1.93
3 H 0.3944 0.5404 0.6985  1 O 0.98
4 H 0.6056 0.4596 0.3015  1 O 0.98
5 O 0.1510 0.1053 0.2555  1 Fe 1.93, 1 U 1.97
6 O 0.2614 0.1164 0.7431  1 Fe 1.91, 1 U 2.00
7 O 0.4166 0.4555 0.2735  1 H 0.98
8 O 0.5834 0.5445 0.7265  1 H 0.98
9 O 0.7386 0.8836 0.2569  1 Fe 1.91, 1 U 2.00
10 O 0.8490 0.8947 0.7445  1 Fe 1.93, 1 U 1.97

## Properties
Space group ... P-1, No. 2
Final energy ... -7.037 eV per atom
Calculated density ... 5.9 g/cm3


VFeH2O5: relaxed, GGA+U.

Lattice parameters (Å, degrees): 5.5643 5.7019 6.7765 100.43 94.95 107.11
With the nearest neighbours (Å) after each atom.
Atoms (fractional coordinates):
1 V 0.2436 0.3784 0.2435  4 O 1.70-1.80
2 V 0.7564 0.6216 0.7565  4 O 1.70-1.80
3 Fe 0.1371 0.2170 0.6984  6 O 1.97-2.10
4 Fe 0.8629 0.7830 0.3016  6 O 1.97-2.10
5 H 0.3766 0.8506 0.7059  1 O 0.99
6 H 0.4180 0.8834 0.2995  1 O 0.99
7 H 0.5820 0.1166 0.7005  1 O 0.99
8 H 0.6234 0.1494 0.2941  1 O 0.99
9 O 0.1190 0.1391 0.3812  1 V 1.80
10 O 0.1313 0.2601 0.9931  1 V 1.70
11 O 0.1472 0.6386 0.3260  1 V 1.74, 1 H 1.78
12 O 0.4094 0.0340 0.7306  2 H 0.99
13 O 0.4236 0.5300 0.7179  1 V 1.75, 1 H 1.94
14 O 0.5764 0.4700 0.2821  1 V 1.75, 1 H 1.94
15 O 0.5906 0.9660 0.2694  2 H 0.99
16 O 0.8528 0.3614 0.6740  1 V 1.74, 1 H 1.78
17 O 0.8687 0.7399 0.0069  1 V 1.70
18 O 0.8810 0.8609 0.6188  1 V 1.80

## Properties
Space group ... P-1, No. 2
Final energy ... -6.443 eV per atom
Calculated density ... 3.1 g/cm3


ZnFeH2O: relaxed, GGA+U.

Lattice parameters (Å, degrees): 3.3216 3.3216 4.3221 90.00 90.00 90.00
With the nearest neighbours (Å) after each atom.
Atoms (fractional coordinates):
1 Zn 0.0000 0.0000 0.0000  4 O 2.35
2 Fe 0.5000 0.5000 0.5000  4 H 1.66
3 H 0.0000 0.5000 0.5000  2 Fe 1.66
4 H 0.5000 0.0000 0.5000  2 Fe 1.66
5 O 0.5000 0.5000 0.0000  2 Fe 2.16, 4 Zn 2.35

## Properties
Space group ... P4/mmm, No. 123
Final energy ... -3.798 eV per atom
Calculated density ... 4.8 g/cm3